{"formula": "Be4H7Br", "functional": "GGA-PBE", "state": "relaxed", "lattice": [[11.914, 0.000, 0.000], [0.000, 4.733, 0.000], [0.000, 0.000, 4.314]], "species": ["Be", "Be", "Be", "Be", "Be", "Be", "Be", "Be", "H", "H", "H", "H", "H", "H", "H", "H", "H", "H", "H", "H", "H", "H", "Br", "Br"], "frac_coords": [[0.095, 0.007, 0.000], [0.247, 0.667, 0.288], [0.253, 0.333, 0.788], [0.405, 0.993, 0.500], [0.595, 0.993, 0.500], [0.747, 0.333, 0.788], [0.753, 0.667, 0.288], [0.905, 0.007, 0.000], [0.000, 0.868, 0.844], [0.145, 0.805, 0.202], [0.165, 0.126, 0.768], [0.222, 0.573, 0.600], [0.278, 0.427, 0.100], [0.335, 0.874, 0.268], [0.355, 0.195, 0.702], [0.500, 0.132, 0.344], [0.645, 0.195, 0.702], [0.665, 0.874, 0.268], [0.722, 0.427, 0.100], [0.778, 0.573, 0.600], [0.835, 0.126, 0.768], [0.855, 0.805, 0.202], [0.000, 0.306, 0.275], [0.500, 0.694, 0.775]], "final_energy_ev_per_atom": -3.4921, "spacegroup": "Pmn2_1 (31)", "magnetic_moment_mub_per_fu": 0.0}

{"formula": "BeH2Br2", "functional": "GGA-PBE", "state": "relaxed", "lattice": [[2.531, -2.527, 0.000], [2.531, 2.527, 0.000], [-0.731, 0.000, 16.827]], "species": ["Be", "Be", "H", "H", "H", "H", "Br", "Br", "Br", "Br"], "frac_coords": [[0.051, 0.949, 0.750], [0.949, 0.051, 0.250], [0.083, 0.496, 0.014], [0.496, 0.083, 0.514], [0.504, 0.917, 0.486], [0.917, 0.504, 0.986], [0.040, 0.438, 0.672], [0.438, 0.040, 0.172], [0.562, 0.960, 0.828], [0.960, 0.562, 0.328]], "final_energy_ev_per_atom": -3.3484, "spacegroup": "C2/c (15)", "magnetic_moment_mub_per_fu": 0.0}

{"formula": "Be3HBr", "functional": "GGA-PBE", "state": "relaxed", "lattice": [[4.535, 0.000, 0.000], [0.000, 4.535, 0.000], [0.000, 0.000, 4.535]], "species": ["Be", "Be", "Be", "H", "Br"], "frac_coords": [[0.000, 0.000, 0.500], [0.000, 0.500, 0.000], [0.500, 0.000, 0.000], [0.500, 0.500, 0.500], [0.000, 0.000, 0.000]], "final_energy_ev_per_atom": -1.2079, "spacegroup": "Pm-3m (221)", "magnetic_moment_mub_per_fu": 0.0}

{"formula": "Be3HBr", "functional": "GGA-PBE", "state": "relaxed", "lattice": [[3.840, 0.000, 0.000], [0.000, 3.840, 0.000], [0.000, 0.000, 3.840]], "species": ["Be", "Be", "Be", "H", "Br"], "frac_coords": [[0.000, 0.000, 0.500], [0.000, 0.500, 0.000], [0.500, 0.000, 0.000], [0.000, 0.000, 0.000], [0.500, 0.500, 0.500]], "final_energy_ev_per_atom": -2.1707, "spacegroup": "Pm-3m (221)", "magnetic_moment_mub_per_fu": 0.0}

{"formula": "BeHBr3", "functional": "GGA-PBE", "state": "relaxed", "lattice": [[4.844, 0.000, 0.000], [0.000, 4.844, 0.000], [0.000, 0.000, 4.844]], "species": ["Be", "H", "Br", "Br", "Br"], "frac_coords": [[0.000, 0.000, 0.000], [0.500, 0.500, 0.500], [0.000, 0.000, 0.500], [0.000, 0.500, 0.000], [0.500, 0.000, 0.000]], "final_energy_ev_per_atom": -2.1518, "spacegroup": "Pm-3m (221)", "magnetic_moment_mub_per_fu": 1.1}

{"formula": "BeH2Br", "functional": "GGA-PBE", "state": "relaxed", "lattice": [[5.429, 0.000, 0.000], [0.000, 5.429, 0.000], [0.000, 0.000, 5.429]], "species": ["Be", "Be", "Be", "Be", "H", "H", "H", "H", "H", "H", "H", "H", "Br", "Br", "Br", "Br"], "frac_coords": [[0.000, 0.000, 0.000], [0.000, 0.500, 0.500], [0.500, 0.000, 0.500], [0.500, 0.500, 0.000], [0.250, 0.250, 0.250], [0.250, 0.250, 0.750], [0.250, 0.750, 0.250], [0.250, 0.750, 0.750], [0.750, 0.250, 0.250], [0.750, 0.250, 0.750], [0.750, 0.750, 0.250], [0.750, 0.750, 0.750], [0.000, 0.000, 0.500], [0.000, 0.500, 0.000], [0.500, 0.000, 0.000], [0.500, 0.500, 0.500]], "final_energy_ev_per_atom": -1.8046, "spacegroup": "Fm-3m (225)", "magnetic_moment_mub_per_fu": 0.0}

{"formula": "BeH2Br", "functional": "GGA-PBE", "state": "relaxed", "lattice": [[5.008, 0.000, 0.000], [0.000, 5.008, 0.000], [0.000, 0.000, 7.100]], "species": ["Be", "Be", "Be", "Be", "H", "H", "H", "H", "H", "H", "H", "H", "Br", "Br", "Br", "Br"], "frac_coords": [[0.000, 0.250, 0.375], [0.000, 0.750, 0.625], [0.500, 0.250, 0.125], [0.500, 0.750, 0.875], [0.000, 0.000, 0.500], [0.000, 0.500, 0.500], [0.250, 0.250, 0.250], [0.250, 0.750, 0.750], [0.500, 0.000, 0.000], [0.500, 0.500, 0.000], [0.750, 0.250, 0.250], [0.750, 0.750, 0.750], [0.000, 0.250, 0.875], [0.000, 0.750, 0.125], [0.500, 0.250, 0.625], [0.500, 0.750, 0.375]], "final_energy_ev_per_atom": -2.6690, "spacegroup": "I4_1/amd (141)", "magnetic_moment_mub_per_fu": 0.0}

{"formula": "BeH2IBr", "functional": "GGA-PBE", "state": "relaxed", "lattice": [[4.035, 0.000, 0.000], [0.000, 4.035, 0.000], [0.000, 0.000, 5.433]], "species": ["Be", "H", "H", "I", "Br"], "frac_coords": [[0.000, 0.000, 0.000], [0.000, 0.500, 0.000], [0.500, 0.000, 0.000], [0.000, 0.000, 0.500], [0.500, 0.500, 0.500]], "final_energy_ev_per_atom": -2.0179, "spacegroup": "P4/mmm (123)", "magnetic_moment_mub_per_fu": 0.0}